(1)
First-principles (GGA-PBEsol) data for Rb2LiMo after structural relaxation, as listed in Alexandria via LeMat-Bulk.

abc: 9.990 9.990 6.928
angles: 90.00 90.00 90.00
Space group I-42d (No. 122)
Symmetry-distinct sites (fractional):
Rb  0.242  0.250  0.125 [8 per cell]
Li  0.000  0.000  0.000 [4 per cell]
Mo  0.000  0.000  0.500 [4 per cell]

Properties
- Total magnetization: 5.1 μB/f.u.
- DFT total energy: -2.4640 eV per atom
- Density of states at the Fermi level: 10.8 states/eV/cell
- ΔH_f (0 K): 1.482 eV/atom


(2)
First-principles (GGA-PBEsol) data for Rb2LiTeMo after structural relaxation, as listed in Alexandria via LeMat-Bulk.

abc: 6.584 6.584 4.792
angles: 90.00 90.00 90.00
Space group P4/mmm (No. 123)
Symmetry-distinct sites (fractional):
Rb  0.000  0.500  0.000 [2 per cell]
Li  0.000  0.000  0.000 [1 per cell]
Te  0.000  0.000  0.500 [1 per cell]
Mo  0.500  0.500  0.500 [1 per cell]

Properties
- Total magnetization: 5.2 μB/f.u.
- DFT total energy: -3.1354 eV per atom
- Density of states at the Fermi level: 1.3 states/eV/cell
- Uncorrected formation energy: 3.63 eV/f.u.


(3)
First-principles (GGA-PBEsol) data for LiReMo after structural relaxation, as listed in Alexandria via LeMat-Bulk.

abc: 2.6994 2.6994 7.1527
angles: 90.00 90.00 120.00
Space group P3m1 (No. 156)
Symmetry-distinct sites (fractional):
Li  0.0000  0.0000  0.0000 [1 per cell]
Re  0.6667  0.3333  0.3295 [1 per cell]
Mo  0.3333  0.6667  0.6476 [1 per cell]

Properties
- Total magnetization: 0.0 μB/f.u.
- DFT total energy: -8.6351 eV per atom
- Density of states at the Fermi level: 2.6 states/eV/cell
- ΔH_f (0 K): 0.387 eV/atom
- Energy above the lowest structure with this stoichiometry: 88.0 meV per atom


(4)
First-principles (GGA-PBEsol) data for Li2ReMo after structural relaxation, as listed in Alexandria via LeMat-Bulk.

abc: 2.523 4.297 5.476
angles: 90.00 96.42 90.00
Space group Pm (No. 6)
Symmetry-distinct sites (fractional):
Li  0.000  0.000  0.000 [1 per cell]
Li  0.129  0.500  0.776 [1 per cell]
Re  0.440  0.000  0.497 [1 per cell]
Mo  0.679  0.500  0.296 [1 per cell]

Properties
- Total magnetization: 0.0 μB/f.u.
- DFT total energy: -6.9505 eV per atom
- Density of states at the Fermi level: 1.9 states/eV/cell
- ΔH_f (0 K): 0.308 eV/atom
- Energy above the lowest structure with this stoichiometry: 0.0 meV per atom


(5)
First-principles (GGA-PBEsol) data for Li2ReMo after structural relaxation, as listed in Alexandria via LeMat-Bulk.

abc: 6.749 6.749 4.817
angles: 90.00 90.00 90.00
Space group I-42d (No. 122)
Symmetry-distinct sites (fractional):
Li  0.247  0.250  0.125 [8 per cell]
Re  0.000  0.000  0.000 [4 per cell]
Mo  0.000  0.000  0.500 [4 per cell]

Properties
- Total magnetization: 0.0 μB/f.u.
- DFT total energy: -6.1416 eV per atom
- Density of states at the Fermi level: 12.6 states/eV/cell
- ΔH_f (0 K): 1.117 eV/atom
- Energy above the lowest structure with this stoichiometry: 808.9 meV per atom


(6)
First-principles (GGA-PBEsol) data for Li2ReMo after structural relaxation, as listed in Alexandria via LeMat-Bulk.

abc: 3.009 4.072 4.717
angles: 90.00 90.00 90.00
Space group Pmmm (No. 47)
Symmetry-distinct sites (fractional):
Li  0.000  0.000  0.000 [1 per cell]
Li  0.500  0.500  0.000 [1 per cell]
Re  0.000  0.500  0.500 [1 per cell]
Mo  0.500  0.000  0.500 [1 per cell]

Properties
- Total magnetization: 0.0 μB/f.u.
- DFT total energy: -6.8601 eV per atom
- Density of states at the Fermi level: 2.3 states/eV/cell
- ΔH_f (0 K): 0.398 eV/atom
- Energy above the lowest structure with this stoichiometry: 90.4 meV per atom


(7)
First-principles (GGA-PBEsol) data for LiReMo after structural relaxation, as listed in Alexandria via LeMat-Bulk.

abc: 2.970 4.306 13.975
angles: 90.00 90.00 90.00
Space group Fmm2 (No. 42)
Symmetry-distinct sites (fractional):
Li  0.000  0.000  0.000 [4 per cell]
Re  0.000  0.000  0.336 [4 per cell]
Mo  0.000  0.000  0.676 [4 per cell]

Properties
- Total magnetization: 0.0 μB/f.u.
- DFT total energy: -8.7231 eV per atom
- Density of states at the Fermi level: 7.7 states/eV/cell
- ΔH_f (0 K): 0.299 eV/atom
- Energy above the lowest structure with this stoichiometry: 0.0 meV per atom


(8)
First-principles (GGA-PBEsol) data for LiReMo2 after structural relaxation, as listed in Alexandria via LeMat-Bulk.

abc: 2.582 2.582 9.078
angles: 90.00 90.00 90.00
Space group P4mm (No. 99)
Symmetry-distinct sites (fractional):
Li  0.000  0.000  0.000 [1 per cell]
Re  0.500  0.500  0.758 [1 per cell]
Mo  0.000  0.000  0.512 [1 per cell]
Mo  0.500  0.500  0.263 [1 per cell]

Properties
- Total magnetization: 0.0 μB/f.u.
- DFT total energy: -9.2309 eV per atom
- Density of states at the Fermi level: 3.1 states/eV/cell
- ΔH_f (0 K): 0.478 eV/atom